GaCoTcO6: optimized geometry, GGA+U.

```
GaCoTcO6
1.0
-2.126 -0.674 -4.525
5.013 0.398 0.398
0.619 -8.809 1.021
O Ga Co Tc
12 2 2 2
Cartesian
-0.306 -5.793 -0.968
1.287 -3.342 -1.041
2.000 -1.325 -2.514
0.020 -6.085 -3.687
4.298 -0.992 -1.034
1.846 -1.019 0.219
-0.792 -8.093 -2.072
1.660 -8.066 -3.325
3.486 -2.999 0.581
3.812 -3.292 -2.138
2.219 -5.743 -2.065
1.507 -7.760 -0.592
0.409 -2.519 -2.629
3.098 -6.566 -0.477
0.000 0.000 0.000
0.309 -4.404 0.511
0.718 -6.923 -2.118
2.788 -2.161 -0.988
```

Summary:
theoretical density: 5.5 g/cm³
space-group type: P-31c, No. 163
total energy: -6.590 eV/atom